No. 1
A geometry-optimized Zn2HRhW structure, computed with PBE.

Lattice parameters (Å, degrees): 5.0988 4.6433 5.0988 90.00 90.00 90.00
Element x y z (fractional)
Zn  0.5000  0.0000  0.0000
Zn  0.0000  0.0000  0.5000
H  0.5000  0.5000  0.5000
Rh  0.0000  0.5000  0.0000
W  0.0000  0.0000  0.0000

Space group ... P4/mmm
Crystal system ... tetragonal

No. 2
A geometry-optimized Zr2HRhW structure, computed with PBE.

Lattice parameters (Å, degrees): 4.6768 4.6768 3.4936 90.00 90.00 90.00
Element x y z (fractional)
W  0.5000  0.5000  0.5000
H  0.0000  0.0000  0.0000
Zr  0.5000  0.0000  0.0000
Zr  0.0000  0.5000  0.0000
Rh  0.0000  0.0000  0.5000

Space group ... P4/mmm
Crystal system ... tetragonal

E / eV per atom: -3.5919, -8.4231